(1)
Computed, not measured: crystalline Ce3HfPb5 at its relaxed geometry at the PBE level of DFT.

Calculated values
VASP energy in eV for the cell shown: -99.2
Formation energy in meV per atom: -366
Symmetry: P6_3/mcm (193)

Unit cell a=9.5537 b=9.5537 c=6.4319 alpha=90.00 beta=90.00 gamma=120.00
Last column: nearest neighbours and their distance in Å.
Element x y z (fractional)
Ce: 0.0000 0.3839 0.2500  9 Pb 3.26-3.39
Ce: 0.0000 0.6161 0.7500  9 Pb 3.26-3.39
Ce: 0.3839 0.0000 0.2500  9 Pb 3.26-3.39
Ce: 0.3839 0.3839 0.7500  9 Pb 3.26-3.39
Ce: 0.6161 0.0000 0.7500  9 Pb 3.26-3.39
Ce: 0.6161 0.6161 0.2500  9 Pb 3.26-3.39
Hf: 0.0000 0.0000 0.0000  6 Pb 3.04, 2 Hf 3.22
Hf: 0.0000 0.0000 0.5000  6 Pb 3.04, 2 Hf 3.22
Pb: 0.0000 0.2704 0.7500  2 Hf 3.04, 5 Ce 3.26-3.39
Pb: 0.0000 0.7296 0.2500  2 Hf 3.04, 5 Ce 3.26-3.39
Pb: 0.2704 0.0000 0.7500  2 Hf 3.04, 5 Ce 3.26-3.39
Pb: 0.2704 0.2704 0.2500  2 Hf 3.04, 5 Ce 3.26-3.39
Pb: 0.3333 0.6667 0.0000  2 Pb 3.22, 6 Ce 3.38
Pb: 0.3333 0.6667 0.5000  2 Pb 3.22, 6 Ce 3.38
Pb: 0.6667 0.3333 0.0000  2 Pb 3.22, 6 Ce 3.38
Pb: 0.6667 0.3333 0.5000  2 Pb 3.22, 6 Ce 3.38
Pb: 0.7296 0.0000 0.2500  2 Hf 3.04, 5 Ce 3.26-3.39
Pb: 0.7296 0.7296 0.7500  2 Hf 3.04, 5 Ce 3.26-3.39

=====

(2)
Computed, not measured: crystalline Ca3Tl4O9 at its relaxed geometry at the PBE level of DFT.

Calculated values
VASP energy in eV for the cell shown: -339.0
Symmetry: P2_1/c (14)
Formation energy (no corrections) in eV/atom: -1.541

Unit cell a=12.4999 b=6.7667 c=11.2931 alpha=90.00 beta=102.73 gamma=90.00
Last column: nearest neighbours and their distance in Å.
Element x y z (fractional)
Ca: 0.1277 0.1245 0.0126  6 O 2.25-2.46
Ca: 0.1277 0.3755 0.5126  6 O 2.25-2.46
Ca: 0.2824 0.6234 0.7975  6 O 2.31-2.55
Ca: 0.2824 0.8766 0.2975  6 O 2.31-2.55
Ca: 0.2973 0.1281 0.8004  4 O 2.31-2.50
Ca: 0.2973 0.3719 0.3004  4 O 2.31-2.50
Ca: 0.7027 0.6281 0.6996  4 O 2.31-2.50
Ca: 0.7027 0.8719 0.1996  4 O 2.31-2.50
Ca: 0.7176 0.1234 0.7025  6 O 2.31-2.55
Ca: 0.7176 0.3766 0.2025  6 O 2.31-2.55
Ca: 0.8723 0.6245 0.4874  6 O 2.25-2.46
Ca: 0.8723 0.8755 0.9874  6 O 2.25-2.46
Tl: 0.0007 0.6250 0.2476  5 O 2.19-2.45
Tl: 0.0007 0.8750 0.7476  5 O 2.19-2.45
Tl: 0.1286 0.6283 0.0097  6 O 2.20-2.44
Tl: 0.1286 0.8717 0.5097  6 O 2.20-2.44
Tl: 0.4360 0.1251 0.1009  3 O 2.13-2.39
Tl: 0.4360 0.3749 0.6009  3 O 2.13-2.39
Tl: 0.4375 0.6251 0.0977  6 O 2.19-2.43
Tl: 0.4375 0.8749 0.5977  6 O 2.19-2.43
Tl: 0.5625 0.1251 0.4023  6 O 2.19-2.43
Tl: 0.5625 0.3749 0.9023  6 O 2.19-2.43
Tl: 0.5640 0.6251 0.3991  3 O 2.13-2.39
Tl: 0.5640 0.8749 0.8991  3 O 2.13-2.39
Tl: 0.8714 0.1283 0.4903  6 O 2.20-2.44
Tl: 0.8714 0.3717 0.9903  6 O 2.20-2.44
Tl: 0.9993 0.1250 0.2524  5 O 2.19-2.45
Tl: 0.9993 0.3750 0.7524  5 O 2.19-2.45
O: 0.0472 0.1237 0.6164  4 Tl 2.34-2.45, 1 Ca 2.41
O: 0.0472 0.3763 0.1164  4 Tl 2.34-2.45, 1 Ca 2.41
O: 0.0562 0.6290 0.6221  3 Tl 2.37-2.47, 2 Ca 2.40-2.46
O: 0.0562 0.8710 0.1221  3 Tl 2.37-2.47, 2 Ca 2.40-2.46
O: 0.1622 0.1199 0.3748  2 Tl 2.20-2.37, 1 Ca 2.43
O: 0.1622 0.3801 0.8748  2 Tl 2.20-2.37, 1 Ca 2.43
O: 0.1616 0.6246 0.3738  2 Tl 2.19-2.37, 1 Ca 2.40
O: 0.1616 0.8754 0.8738  2 Tl 2.19-2.37, 1 Ca 2.40
O: 0.2802 0.6237 0.1528  2 Tl 2.19-2.20, 2 Ca 2.36
O: 0.2802 0.8763 0.6528  2 Tl 2.19-2.20, 2 Ca 2.36
O: 0.2839 0.1243 0.1572  1 Tl 2.13, 3 Ca 2.25-2.31
O: 0.2839 0.3757 0.6572  1 Tl 2.13, 3 Ca 2.25-2.31
O: 0.3967 0.1216 0.4432  3 Tl 2.22-2.44, 1 Ca 2.48
O: 0.3967 0.3784 0.9432  3 Tl 2.22-2.44, 1 Ca 2.48
O: 0.3989 0.6287 0.4407  3 Tl 2.21-2.46
O: 0.3989 0.8713 0.9407  3 Tl 2.21-2.46
O: 0.4932 0.1247 0.7535  4 Tl 2.39-2.43, 1 Ca 2.62
O: 0.4932 0.3753 0.2535  4 Tl 2.39-2.43, 1 Ca 2.62
O: 0.5068 0.6247 0.7465  4 Tl 2.39-2.43, 1 Ca 2.62
O: 0.5068 0.8753 0.2465  4 Tl 2.39-2.43, 1 Ca 2.62
O: 0.6011 0.1287 0.0593  3 Tl 2.21-2.46
O: 0.6011 0.3713 0.5593  3 Tl 2.21-2.46
O: 0.6033 0.6216 0.0568  3 Tl 2.22-2.44, 1 Ca 2.48
O: 0.6033 0.8784 0.5568  3 Tl 2.22-2.44, 1 Ca 2.48
O: 0.7161 0.6243 0.3428  1 Tl 2.13, 3 Ca 2.25-2.31
O: 0.7161 0.8757 0.8428  1 Tl 2.13, 3 Ca 2.25-2.31
O: 0.7198 0.1237 0.3472  2 Tl 2.19-2.20, 2 Ca 2.36
O: 0.7198 0.3763 0.8472  2 Tl 2.19-2.20, 2 Ca 2.36
O: 0.8384 0.1246 0.1262  2 Tl 2.19-2.37, 1 Ca 2.40
O: 0.8384 0.3754 0.6262  2 Tl 2.19-2.37, 1 Ca 2.40
O: 0.8378 0.6199 0.1252  2 Tl 2.20-2.37, 1 Ca 2.43
O: 0.8378 0.8801 0.6252  2 Tl 2.20-2.37, 1 Ca 2.43
O: 0.9438 0.1290 0.8779  3 Tl 2.37-2.47, 2 Ca 2.40-2.46
O: 0.9438 0.3710 0.3779  3 Tl 2.37-2.47, 2 Ca 2.40-2.46
O: 0.9528 0.6237 0.8836  4 Tl 2.34-2.45, 1 Ca 2.41
O: 0.9528 0.8763 0.3836  4 Tl 2.34-2.45, 1 Ca 2.41

=====

(3)
Computed, not measured: crystalline Sr2MgH12Rh3 at its relaxed geometry at the PBE level of DFT.

Calculated values
VASP energy in eV for the cell shown: -74.0
Symmetry: R-3m (166)

Unit cell a=6.0400 b=6.0400 c=6.0400 alpha=65.40 beta=65.40 gamma=65.40
Last column: nearest neighbours and their distance in Å.
Element x y z (fractional)
Sr: 0.1213 0.1213 0.1213  3 H 2.34
Sr: 0.8787 0.8787 0.8787  3 H 2.34
Mg: 0.5000 0.5000 0.5000  6 H 1.98
H: 0.1234 0.6144 0.6144  1 Rh 1.66
H: 0.1874 0.1874 0.6086  2 Rh 1.76
H: 0.1874 0.6086 0.1874  2 Rh 1.76
H: 0.3856 0.3856 0.8766  1 Rh 1.66
H: 0.3856 0.8766 0.3856  1 Rh 1.66
H: 0.3914 0.8126 0.8126  2 Rh 1.76
H: 0.6086 0.1874 0.1874  2 Rh 1.76
H: 0.6144 0.1234 0.6144  1 Rh 1.66
H: 0.6144 0.6144 0.1234  1 Rh 1.66
H: 0.8126 0.3914 0.8126  2 Rh 1.76
H: 0.8126 0.8126 0.3914  2 Rh 1.76
H: 0.8766 0.3856 0.3856  1 Rh 1.66
Rh: 0.0000 0.5000 0.5000  6 H 1.66-1.76
Rh: 0.5000 0.0000 0.5000  6 H 1.66-1.76
Rh: 0.5000 0.5000 0.0000  6 H 1.66-1.76

=====

(4)
Computed, not measured: crystalline CeEr4Al4 at its relaxed geometry at the PBE level of DFT.

Calculated values
VASP energy in eV for the cell shown: -80.6
Formation energy in meV per atom: -125
Symmetry: P4_2/n (86)

Unit cell a=8.5751 b=8.5751 c=5.8582 alpha=90.00 beta=90.00 gamma=90.00
Last column: nearest neighbours and their distance in Å.
Element x y z (fractional)
Ce: 0.2500 0.2500 0.2500  4 Er 2.96, 4 Al 3.04
Ce: 0.7500 0.7500 0.7500  4 Er 2.96, 4 Al 3.04
Er: 0.0780 0.8180 0.6317  1 Ce 2.96, 5 Al 3.04-3.25, 1 Er 3.17
Er: 0.1820 0.5780 0.1317  1 Ce 2.96, 5 Al 3.04-3.25, 1 Er 3.17
Er: 0.3180 0.9220 0.1317  1 Ce 2.96, 5 Al 3.04-3.25, 1 Er 3.17
Er: 0.4220 0.6820 0.6317  1 Ce 2.96, 5 Al 3.04-3.25, 1 Er 3.17
Er: 0.5780 0.3180 0.3683  1 Ce 2.96, 5 Al 3.04-3.25, 1 Er 3.17
Er: 0.6820 0.0780 0.8683  1 Ce 2.96, 5 Al 3.04-3.25, 1 Er 3.17
Er: 0.8180 0.4220 0.8683  1 Ce 2.96, 5 Al 3.04-3.25, 1 Er 3.17
Er: 0.9220 0.1820 0.3683  1 Ce 2.96, 5 Al 3.04-3.25, 1 Er 3.17
Al: 0.0503 0.1487 0.8488  3 Al 2.95-3.22, 1 Ce 3.04, 5 Er 3.04-3.25
Al: 0.1487 0.4497 0.6512  3 Al 2.95-3.22, 1 Ce 3.04, 5 Er 3.04-3.25
Al: 0.3513 0.0503 0.6512  3 Al 2.95-3.22, 1 Ce 3.04, 5 Er 3.04-3.25
Al: 0.4497 0.3513 0.8488  3 Al 2.95-3.22, 1 Ce 3.04, 5 Er 3.04-3.25
Al: 0.5503 0.6487 0.1512  3 Al 2.95-3.22, 1 Ce 3.04, 5 Er 3.04-3.25
Al: 0.6487 0.9497 0.3488  3 Al 2.95-3.22, 1 Ce 3.04, 5 Er 3.04-3.25
Al: 0.8513 0.5503 0.3488  3 Al 2.95-3.22, 1 Ce 3.04, 5 Er 3.04-3.25
Al: 0.9497 0.8513 0.1512  3 Al 2.95-3.22, 1 Ce 3.04, 5 Er 3.04-3.25

=====

(5)
Computed, not measured: crystalline Na2In5Ga3 at its relaxed geometry at the PBE level of DFT.

Calculated values
VASP energy in eV for the cell shown: -52.1
Offset from the most stable computed form in eV per atom: 0.000
Formation energy in meV per atom: -65
Symmetry: Ibam (72)

Unit cell a=9.5252 b=9.5252 c=9.5252 alpha=100.17 beta=93.53 gamma=139.64
Last column: nearest neighbours and their distance in Å.
Element x y z (fractional)
Na: 0.1335 0.2434 0.3770  10 In 3.47-3.85, 4 Ga 3.49-3.61
Na: 0.3665 0.7434 0.1099  10 In 3.47-3.85, 4 Ga 3.49-3.61
Na: 0.6335 0.2566 0.8901  10 In 3.47-3.85, 4 Ga 3.49-3.61
Na: 0.8665 0.7566 0.6230  10 In 3.47-3.85, 4 Ga 3.49-3.61
In: 0.0012 0.7500 0.2512  2 Ga 2.87, 2 In 3.02
In: 0.1118 0.6464 0.7583  3 Ga 2.66-2.83
In: 0.2500 0.2500 0.0000  4 Ga 2.84
In: 0.3882 0.1464 0.5346  3 Ga 2.66-2.83
In: 0.4988 0.7500 0.7488  2 Ga 2.87, 2 In 3.02
In: 0.5012 0.2500 0.2512  2 Ga 2.87, 2 In 3.02
In: 0.6118 0.8536 0.4654  3 Ga 2.66-2.83
In: 0.7500 0.7500 0.0000  4 Ga 2.84
In: 0.8882 0.3536 0.2417  3 Ga 2.66-2.83
In: 0.9988 0.2500 0.7488  2 Ga 2.87, 2 In 3.02
Ga: 0.1240 0.8640 0.9880  5 In 2.66-2.87
Ga: 0.2500 0.7500 0.5000  4 In 2.83
Ga: 0.3760 0.3640 0.7401  5 In 2.66-2.87
Ga: 0.6240 0.6360 0.2599  5 In 2.66-2.87
Ga: 0.7500 0.2500 0.5000  4 In 2.83
Ga: 0.8760 0.1360 0.0120  5 In 2.66-2.87

=====

(6)
Computed, not measured: crystalline SiAgAs2 at its relaxed geometry at the PBE level of DFT.

Calculated values
VASP energy in eV for the cell shown: -15.9
Symmetry: Cmm2 (35)
Formation energy (no corrections) in eV/atom: 0.411

Unit cell a=2.8144 b=2.8144 c=9.4602 alpha=90.00 beta=90.00 gamma=100.94
Last column: nearest neighbours and their distance in Å.
Element x y z (fractional)
Si: 0.0000 0.0000 0.0000  4 As 2.80-3.06, 4 Ag 2.81-3.07, 4 Si 2.81
Ag: 0.5000 0.5000 0.2289  4 Si 2.81-3.07, 4 Ag 2.81, 4 As 2.90-3.15
As: 0.0000 0.0000 0.4697  4 As 2.81, 4 Ag 2.90-3.15
As: 0.5000 0.5000 0.7724  4 Si 2.80-3.06, 4 As 2.81

=====

(7)
Computed, not measured: crystalline ErGaAu3 at its relaxed geometry at the PBE level of DFT.

Calculated values
VASP energy in eV for the cell shown: -40.5
Offset from the most stable computed form in eV per atom: 0.023
Formation energy in meV per atom: -563
Symmetry: P2_1/m (11)

Unit cell a=5.3985 b=5.8975 c=6.3229 alpha=90.00 beta=99.11 gamma=90.00
Last column: nearest neighbours and their distance in Å.
Element x y z (fractional)
Er: 0.1860 0.2500 0.1896  8 Au 3.00-3.27, 2 Ga 3.15
Er: 0.8140 0.7500 0.8104  8 Au 3.00-3.27, 2 Ga 3.15
Ga: 0.0847 0.7500 0.3296  5 Au 2.52-2.63
Ga: 0.9153 0.2500 0.6704  5 Au 2.52-2.63
Au: 0.3118 0.0010 0.6407  2 Ga 2.61-2.63, 2 Au 2.87-2.91
Au: 0.3118 0.4990 0.6407  2 Ga 2.61-2.63, 2 Au 2.87-2.91
Au: 0.3474 0.7500 0.0334  1 Ga 2.52
Au: 0.6526 0.2500 0.9666  1 Ga 2.52
Au: 0.6882 0.5010 0.3593  2 Ga 2.61-2.63, 2 Au 2.87-2.91
Au: 0.6882 0.9990 0.3593  2 Ga 2.61-2.63, 2 Au 2.87-2.91

=====

(8)
Computed, not measured: crystalline Ce2FeH5 at its relaxed geometry at the PBE level of DFT.

Calculated values
VASP energy in eV for the cell shown: -40.2
Symmetry: I4mm (107)

Unit cell a=5.0409 b=5.0409 c=5.0409 alpha=121.34 beta=121.34 gamma=87.69
Last column: nearest neighbours and their distance in Å.
Element x y z (fractional)
Ce: 0.0000 0.5000 0.5000  10 H 2.47-2.55
Ce: 0.5000 0.0000 0.5000  10 H 2.47-2.55
Fe: 0.2516 0.2516 0.0000  5 H 1.64-1.68
H: 0.0098 0.0098 0.5310  1 Fe 1.64
H: 0.0098 0.4788 0.0000  1 Fe 1.64
H: 0.4788 0.0098 0.0000  1 Fe 1.64
H: 0.4788 0.4788 0.4690  1 Fe 1.64
H: 0.4833 0.4833 0.0000  1 Fe 1.68